ErPuI5: relaxed, PBE-GGA.

Cell lengths 4.2571, 9.2984, 14.9534 Å; angles 95.04, 90.00, 90.00 degrees
With the nearest neighbours (Å) after each atom.
Fractional positions:
I 0.7500 0.1514 0.9292  3 Pu 3.21-3.24
I 0.2500 0.8486 0.0708  3 Pu 3.21-3.24
I 0.2500 0.6777 0.5219  2 Er 3.09
I 0.2500 0.3744 0.7022  2 Er 3.04
I 0.7500 0.3223 0.4781  2 Er 3.09
I 0.2500 0.3543 0.1357  1 Er 3.11, 2 Pu 3.24
I 0.2500 0.0766 0.3052  1 Er 3.11, 2 Pu 3.28
I 0.7500 0.6457 0.8643  1 Er 3.11, 2 Pu 3.24
I 0.7500 0.6256 0.2978  2 Er 3.04
I 0.7500 0.9234 0.6948  1 Er 3.11, 2 Pu 3.28
Er 0.7500 0.5891 0.6565  6 I 3.04-3.11
Er 0.2500 0.4109 0.3435  6 I 3.04-3.11
Pu 0.2500 0.9073 0.8605  7 I 3.21-3.28
Pu 0.7500 0.0927 0.1395  7 I 3.21-3.28

Properties
Calculated volume: 590 Å³ per cell
Uncorrected formation energy: -1.21 eV per atom

ErPuI2: relaxed, PBE-GGA.

Cell lengths 3.8920, 3.8920, 10.9028 Å; angles 79.72, 79.72, 60.00 degrees
With the nearest neighbours (Å) after each atom.
Fractional positions:
Pu 0.5000 0.5000 0.5000  6 I 3.20
Er 0.0000 0.0000 0.0000  2 I 3.06
I 0.9043 0.9043 0.2871  1 Er 3.06, 3 Pu 3.20
I 0.0957 0.0957 0.7129  1 Er 3.06, 3 Pu 3.20

Properties
Calculated volume: 140 Å³ per cell
Uncorrected formation energy: -0.49 eV per atom

Rb2ErI4: relaxed, PBE-GGA.

Cell lengths 5.9851, 5.9851, 10.2233 Å; angles 107.02, 107.02, 90.00 degrees
With the nearest neighbours (Å) after each atom.
Fractional positions:
I 0.1655 0.1655 0.3310  1 Er 3.08
I 0.0000 0.5000 0.0000  2 Er 2.99
I 0.5000 0.0000 0.0000  2 Er 2.99
I 0.8345 0.8345 0.6690  1 Er 3.08
Er 0.0000 0.0000 0.0000  6 I 2.99-3.08
Rb 0.3623 0.3623 0.7246  5 I 3.66-3.94
Rb 0.6377 0.6377 0.2754  5 I 3.66-3.94

Properties
Calculated volume: 333 Å³ per cell
Uncorrected formation energy: -1.25 eV per atom

Rb4ErI7: relaxed, PBE-GGA.

Cell lengths 6.0386, 9.7648, 13.7144 Å; angles 61.04, 77.28, 71.99 degrees
With the nearest neighbours (Å) after each atom.
Fractional positions:
Rb 0.5134 0.6789 0.2943  5 I 3.59-3.87
Rb 0.2452 0.1796 0.3299  6 I 3.69-3.97
Rb 0.4866 0.3211 0.7057  5 I 3.59-3.87
Rb 0.7548 0.8204 0.6701  6 I 3.69-3.97
I 0.6451 0.2494 0.4603  5 Rb 3.59-3.70
I 0.8833 0.3611 0.8724  1 Er 3.00
I 0.1161 0.9884 0.7795  1 Er 3.00
I 0.1167 0.6389 0.1276  1 Er 3.00
I 0.3549 0.7506 0.5397  5 Rb 3.59-3.70
I 0.5000 0.0000 0.0000  2 Er 3.02
I 0.8839 0.0116 0.2205  1 Er 3.00
Er 0.0000 0.0000 0.0000  6 I 3.00-3.02

Properties
Calculated volume: 670 Å³ per cell
Uncorrected formation energy: -1.44 eV per atom

Rb2ErI6: relaxed, PBE-GGA.

Cell lengths 4.0440, 9.6869, 11.0902 Å; angles 115.90, 90.00, 90.00 degrees
With the nearest neighbours (Å) after each atom.
Fractional positions:
I 0.0000 0.9984 0.2176  2 Er 3.05
I 0.5000 0.4311 0.4407  4 Rb 3.71-3.77, 2 I 4.04
I 0.5000 0.9904 0.5593  4 Rb 3.71-3.77, 2 I 4.04
I 0.0000 0.2113 0.0000  2 Er 3.14
I 0.5000 0.6178 0.0000  1 Er 3.35
I 0.0000 0.7808 0.7824  2 Er 3.05
Rb 0.0000 0.6589 0.3115  7 I 3.71-3.87, 2 Rb 4.04
Rb 0.0000 0.3475 0.6885  7 I 3.71-3.87, 2 Rb 4.04
Er 0.5000 0.9639 0.0000  7 I 3.05-3.35

Properties
Calculated volume: 391 Å³ per cell
Uncorrected formation energy: -1.14 eV per atom

Rb3Er2I9: relaxed, PBE-GGA.

Cell lengths 11.0882, 11.0882, 11.0882 Å; angles 82.99, 82.99, 82.99 degrees
With the nearest neighbours (Å) after each atom.
Fractional positions:
I 0.0803 0.9192 0.2693  1 Er 2.93
I 0.9197 0.0808 0.7307  1 Er 2.93
I 0.7693 0.4192 0.5803  1 Er 2.93
I 0.0904 0.2500 0.4096  2 Er 3.11
I 0.5803 0.7693 0.4192  1 Er 2.93
I 0.7307 0.9197 0.0808  1 Er 2.93
I 0.7500 0.5904 0.9096  2 Er 3.11
I 0.2693 0.0803 0.9192  1 Er 2.93
I 0.4192 0.5803 0.7693  1 Er 2.93
I 0.9192 0.2693 0.0803  1 Er 2.93
I 0.4197 0.2307 0.5808  1 Er 2.93
I 0.5808 0.4197 0.2307  1 Er 2.93
I 0.5904 0.9096 0.7500  2 Er 3.11
I 0.9096 0.7500 0.5904  2 Er 3.11
I 0.2500 0.4096 0.0904  2 Er 3.11
I 0.4096 0.0904 0.2500  2 Er 3.11
I 0.0808 0.7307 0.9197  1 Er 2.93
I 0.2307 0.5808 0.4197  1 Er 2.93
Rb 0.7500 0.0730 0.4270  12 I 4.07-4.50
Rb 0.4270 0.7500 0.0730  12 I 4.07-4.50
Rb 0.9270 0.5730 0.2500  12 I 4.07-4.50
Rb 0.5730 0.2500 0.9270  12 I 4.07-4.50
Rb 0.0730 0.4270 0.7500  12 I 4.07-4.50
Rb 0.2500 0.9270 0.5730  12 I 4.07-4.50
Er 0.3455 0.3455 0.3455  6 I 2.93-3.11
Er 0.1545 0.1545 0.1545  6 I 2.93-3.11
Er 0.8455 0.8455 0.8455  6 I 2.93-3.11
Er 0.6545 0.6545 0.6545  6 I 2.93-3.11

Properties
Calculated volume: 1335 Å³ per cell
Uncorrected formation energy: -1.43 eV per atom

RbErI4: relaxed, PBE-GGA.

Cell lengths 7.8139, 10.5450, 10.5450 Å; angles 117.38, 99.15, 99.15 degrees
With the nearest neighbours (Å) after each atom.
Fractional positions:
Rb 0.7500 0.2383 0.2617  6 I 3.66-3.91
Rb 0.2500 0.7617 0.7383  6 I 3.66-3.91
I 0.7958 0.6395 0.4980  1 Er 2.95
I 0.2042 0.3605 0.5020  1 Er 2.95
I 0.7042 0.0020 0.8605  1 Er 2.95
I 0.3547 0.7831 0.3971  2 Er 3.05-3.08
I 0.6453 0.2169 0.6029  2 Er 3.05-3.08
I 0.1453 0.1029 0.7169  2 Er 3.05-3.08
I 0.8547 0.8971 0.2831  2 Er 3.05-3.08
I 0.2958 0.9980 0.1395  1 Er 2.95
Er 0.7500 0.9342 0.5658  6 I 2.95-3.08
Er 0.2500 0.0658 0.4342  6 I 2.95-3.08

Properties
Polymorph energy (0 for the lowest one): 0.0000 eV/atom
Calculated volume: 735 Å³ per cell
Uncorrected formation energy: -1.42 eV per atom

RbErI4: relaxed, PBE-GGA.

Cell lengths 7.5845, 8.4045, 9.8469 Å; angles 103.26, 112.67, 90.00 degrees
With the nearest neighbours (Å) after each atom.
Fractional positions:
Rb 0.8039 0.7502 0.0004  4 I 3.73-3.74
Rb 0.1961 0.2498 0.9996  4 I 3.73-3.74
I 0.5055 0.0483 0.8054  1 Er 2.92
I 0.8736 0.8339 0.6199  2 Er 3.09
I 0.2536 0.6661 0.3801  2 Er 3.09
I 0.3002 0.5483 0.8054  1 Er 2.92
I 0.1264 0.1661 0.3801  2 Er 3.09
I 0.6998 0.4517 0.1946  1 Er 2.92
I 0.4945 0.9517 0.1946  1 Er 2.92
I 0.7464 0.3339 0.6199  2 Er 3.09
Er 0.5000 0.0000 0.5000  6 I 2.92-3.09
Er 0.0000 0.5000 0.5000  6 I 2.92-3.09

Properties
Polymorph energy (0 for the lowest one): 0.0457 eV/atom
Calculated volume: 561 Å³ per cell
Uncorrected formation energy: -1.38 eV per atom

Number 1: M_tot 0.86 μB/atom. Number 2: M_tot 1.66 μB/atom. Number 3: M_tot 0.08 μB/atom. Number 4: M_tot 0.00 μB/atom. Number 5: M_tot 0.00 μB/atom. Number 6: M_tot 0.00 μB/atom. Number 7: M_tot 0.00 μB/atom. Number 8: M_tot 0.00 μB/atom.